Compound: Zn2SbPd2
Source: Alexandria via LeMat-Bulk
Functional: PBE
Structure: relaxed

The space group is P4/mbm (No. 127) and the conventional cell measures 7.4491, 7.4491 and 3.0586 Å, with angles of 90.00, 90.00 and 90.00 degrees. Symmetry generates all atoms from Zn at (0.1477, 0.3523, 0.0000), Sb at (0.0000, 0.0000, 0.5000) and Pd at (0.1460, 0.6460, 0.5000).

The total moment is 0.0 μB/f.u. The crystal system is tetragonal. The energy relative to the elements, uncorrected comes out at -345.6 meV per atom. The offset from the most stable computed form comes out at 0.0000 eV/atom. The volume is 16.972 Å³/atom.


Compound: Zn2Sb2Pd
Source: Alexandria via LeMat-Bulk
Functional: PBE
Structure: relaxed

The space group is P4/mbm (No. 127) and the conventional cell measures 6.9764, 6.9764 and 4.0947 Å, with angles of 90.00, 90.00 and 90.00 degrees. Symmetry generates all atoms from Zn at (0.1302, 0.3698, 0.0000), Sb at (0.1817, 0.6817, 0.5000) and Pd at (0.0000, 0.0000, 0.0000).

The total moment is 0.0 μB/f.u. The crystal system is tetragonal. The energy relative to the elements, uncorrected comes out at 46.8 meV per atom. The offset from the most stable computed form comes out at 0.0105 eV/atom. The volume is 19.929 Å³/atom.